Record 1
Er3TmBi, relaxed, DFT PBE-GGA; total energy = -23.30 eV/f.u.; SG = P-1, No. 2; calculated formation energy = -0.25 eV/atom
1.0
6.320 0.000 0.000
2.836 5.960 0.000
1.860 0.338 7.979
Er Tm Bi
6 2 2
Cartesian
1.457 1.085 2.640
3.167 3.912 2.055
6.330 5.750 7.103
4.687 0.548 0.876
7.849 2.387 5.924
9.559 5.214 5.339
4.596 1.730 4.195
6.420 4.568 3.784
4.731 2.860 7.093
6.285 3.438 0.886

---

Record 2
Pr2Be3Pt12Au, relaxed, DFT PBE-GGA; total energy = -101.96 eV/f.u.; SG = R-3m, No. 166; calculated formation energy = -0.30 eV/atom
1.0
4.032 2.328 6.035
-4.032 2.328 6.035
0.000 -4.656 6.035
Pr Be Pt Au
2 3 12 1
Cartesian
0.000 0.000 1.946
0.000 0.000 16.160
-2.016 -1.164 6.035
-2.016 1.164 12.070
0.000 2.328 6.035
-2.140 -1.235 8.279
0.000 -2.090 5.449
-1.810 1.045 5.449
0.000 -2.471 9.827
-2.140 1.235 9.827
-1.810 -1.045 12.657
1.810 1.045 5.449
2.140 -1.235 8.279
0.000 2.471 8.279
1.810 -1.045 12.657
0.000 2.090 12.657
2.140 1.235 9.827
0.000 0.000 9.053

---

Record 3
LiBRu2Au, relaxed, DFT PBE-GGA; total energy = -21.88 eV/f.u.; SG = P4/mmm, No. 123; calculated formation energy = 1.71 eV/atom
1.0
5.137 0.000 0.000
0.000 5.137 0.000
0.000 0.000 4.000
Li B Ru Au
1 1 2 1
Cartesian
0.000 0.000 0.000
2.569 2.569 0.000
0.000 2.569 2.000
2.569 0.000 2.000
2.569 2.569 2.000

---

Record 4
La3InO, relaxed, DFT PBE-GGA; total energy = -28.94 eV/f.u.; SG = P1, No. 1
1.0
6.974 0.000 0.000
3.170 6.426 0.000
1.282 3.345 6.406
La In O
6 2 2
Cartesian
0.000 0.000 0.000
0.776 1.904 2.989
2.696 5.179 3.469
4.710 2.922 0.786
6.690 6.083 1.249
7.506 8.018 4.258
6.003 4.675 4.125
8.412 3.346 0.118
6.309 8.403 6.293
8.720 7.291 2.051

---

Record 5
Zr2AlOs, relaxed, DFT PBE-GGA; total energy = -33.22 eV/f.u.; SG = I-4m2, No. 119; calculated formation energy = -0.29 eV/atom
1.0
-2.000 2.000 4.613
2.000 -2.000 4.613
2.000 2.000 -4.613
Zr Al Os
2 1 1
Cartesian
0.000 0.000 0.000
0.000 2.000 2.307
2.000 0.000 2.307
0.000 0.000 4.613

---

Record 6
Rb2LiNp2O7, relaxed, DFT PBE-GGA; total energy = -94.05 eV/f.u.; SG = I4/mmm, No. 139
1.0
-2.145 2.145 11.334
2.145 -2.145 11.334
2.145 2.145 -11.334
Rb Li Np O
2 1 2 7
Cartesian
0.000 0.000 4.311
0.000 0.000 18.358
0.000 0.000 0.000
0.000 0.000 9.249
0.000 0.000 13.420
2.145 0.000 2.004
0.000 0.000 7.278
2.145 0.000 9.330
0.000 0.000 11.334
0.000 2.145 2.004
0.000 0.000 15.390
0.000 2.145 9.330

---

Record 7
Tb2PrBi2, relaxed, DFT PBE-GGA; total energy = -24.30 eV/f.u.; SG = C2/m, No. 12; calculated formation energy = -0.50 eV/atom
1.0
3.236 -3.249 0.000
3.236 3.249 0.000
-3.216 0.000 7.644
Tb Pr Bi
2 1 2
Cartesian
3.236 1.621 0.000
3.236 -1.621 0.000
-1.608 0.000 3.822
1.616 0.000 2.234
1.640 0.000 5.410

---

Record 8
CaZnCd2, relaxed, DFT PBE-GGA; total energy = -5.69 eV/f.u.; SG = P4/mmm, No. 123; calculated formation energy = -0.14 eV/atom
1.0
3.566 0.000 0.000
0.000 3.566 0.000
0.000 0.000 7.408
Ca Zn Cd
1 1 2
Cartesian
0.000 0.000 0.000
0.000 0.000 3.704
1.783 1.783 2.138
1.783 1.783 5.270

---

Record 9
SmCdAs2Rh5, relaxed, DFT PBE-GGA; total energy = -55.62 eV/f.u.; SG = P4/mmm, No. 123; calculated formation energy = -0.44 eV/atom
1.0
4.275 0.000 0.000
0.000 4.275 0.000
0.000 0.000 8.654
Sm Cd As Rh
1 1 2 5
Cartesian
0.000 0.000 0.000
0.000 0.000 4.327
2.138 2.138 3.079
2.138 2.138 5.575
0.000 2.138 2.063
0.000 2.138 6.591
2.138 0.000 2.063
2.138 0.000 6.591
2.138 2.138 0.000

---

Record 10
ZnCdAu3, relaxed, DFT PBE-GGA; total energy = -10.50 eV/f.u.; SG = Pm-3m, No. 221; calculated formation energy = 0.30 eV/atom
1.0
4.858 0.000 0.000
0.000 4.858 0.000
0.000 0.000 4.858
Zn Cd Au
1 1 3
Cartesian
0.000 0.000 0.000
2.429 2.429 2.429
0.000 0.000 2.429
0.000 2.429 0.000
2.429 0.000 0.000

---

Record 11
Tb4HoErS8, relaxed, DFT PBE-GGA; total energy = -87.74 eV/f.u.; SG = R3m, No. 160
1.0
4.030 2.326 6.568
-4.030 2.326 6.568
0.000 -4.653 6.568
Tb Ho Er S
4 1 1 8
Cartesian
0.000 0.000 0.000
-2.012 -1.161 9.023
2.012 -1.161 9.023
0.000 2.323 9.023
0.000 0.000 4.910
0.000 0.000 12.301
0.000 0.000 7.501
0.000 -2.185 10.645
-1.892 1.093 10.645
-1.874 -1.082 13.973
1.892 1.093 10.645
1.874 -1.082 13.973
0.000 2.164 13.973
0.000 0.000 17.091

---

Record 12
Sc2AlSb, relaxed, DFT PBE-GGA; total energy = -20.96 eV/f.u.; SG = R3m, No. 160
1.0
1.643 0.949 9.832
-1.643 0.949 9.832
0.000 -1.897 9.832
Sc Al Sb
2 1 1
Cartesian
0.000 0.000 0.000
0.000 0.000 7.246
0.000 0.000 21.975
0.000 0.000 14.602

---

Q: What is the formula in the sixth record?
A: Rb2LiNp2O7